1.
# TbY3Ho3S8 | Alexandria | PBE | optimized geometry
# E_form (uncorrected) ... -2.047 eV/atom
# Raw total energy ... -6.765 eV/atom
# Space-group type ... R-3m, No. 166
data_TbY3Ho3S8
_cell_length_a 7.793
_cell_length_b 7.793
_cell_length_c 7.793
_cell_angle_alpha 59.95
_cell_angle_beta 59.95
_cell_angle_gamma 59.95
_symmetry_space_group_name_H-M 'P 1'
_symmetry_Int_Tables_number 1
loop_
_symmetry_equiv_pos_as_xyz
'x,y,z'
loop_
_atom_site_label
_atom_site_type_symbol
_atom_site_fract_x
_atom_site_fract_y
_atom_site_fract_z
_atom_site_occupancy
Tb1 Tb 0.000 0.000 0.000 1
Y1 Y 0.000 0.000 0.500 1
Y2 Y 0.000 0.500 0.000 1
Y3 Y 0.500 0.000 0.000 1
Ho1 Ho 0.000 0.500 0.500 1
Ho2 Ho 0.500 0.000 0.500 1
Ho3 Ho 0.500 0.500 0.000 1
S1 S 0.251 0.251 0.251 1
S2 S 0.252 0.252 0.746 1
S3 S 0.252 0.746 0.252 1
S4 S 0.254 0.748 0.748 1
S5 S 0.746 0.252 0.252 1
S6 S 0.748 0.254 0.748 1
S7 S 0.748 0.748 0.254 1
S8 S 0.749 0.749 0.749 1

2.
# TbYHo4S8 | Alexandria | PBE | optimized geometry
# E_form (uncorrected) ... -1.933 eV/atom
# Raw total energy ... -6.392 eV/atom
# Space-group type ... R3m, No. 160
data_TbYHo4S8
_cell_length_a 8.033
_cell_length_b 8.033
_cell_length_c 8.033
_cell_angle_alpha 59.94
_cell_angle_beta 59.94
_cell_angle_gamma 59.94
_symmetry_space_group_name_H-M 'P 1'
_symmetry_Int_Tables_number 1
loop_
_symmetry_equiv_pos_as_xyz
'x,y,z'
loop_
_atom_site_label
_atom_site_type_symbol
_atom_site_fract_x
_atom_site_fract_y
_atom_site_fract_z
_atom_site_occupancy
Tb1 Tb 0.000 0.000 0.000 1
Y1 Y 0.625 0.625 0.625 1
Ho1 Ho 0.126 0.625 0.625 1
Ho2 Ho 0.251 0.251 0.251 1
Ho3 Ho 0.625 0.126 0.625 1
Ho4 Ho 0.625 0.625 0.126 1
S1 S 0.381 0.381 0.854 1
S2 S 0.381 0.854 0.381 1
S3 S 0.383 0.383 0.383 1
S4 S 0.400 0.868 0.868 1
S5 S 0.854 0.381 0.381 1
S6 S 0.867 0.867 0.867 1
S7 S 0.868 0.400 0.868 1
S8 S 0.868 0.868 0.400 1

3.
# TbHo2ZrS4 | Alexandria | PBE | optimized geometry
# E_form (uncorrected) ... -1.821 eV/atom
# Raw total energy ... -6.677 eV/atom
# Space-group type ... P2/m, No. 10
data_TbHo2ZrS4
_cell_length_a 6.659
_cell_length_b 3.858
_cell_length_c 6.669
_cell_angle_alpha 90.00
_cell_angle_beta 109.71
_cell_angle_gamma 90.00
_symmetry_space_group_name_H-M 'P 1'
_symmetry_Int_Tables_number 1
loop_
_symmetry_equiv_pos_as_xyz
'x,y,z'
loop_
_atom_site_label
_atom_site_type_symbol
_atom_site_fract_x
_atom_site_fract_y
_atom_site_fract_z
_atom_site_occupancy
Tb1 Tb 0.000 0.000 0.000 1
Ho1 Ho 0.000 0.500 0.500 1
Ho2 Ho 0.500 0.000 0.500 1
Zr1 Zr 0.500 0.500 0.000 1
S1 S 0.255 0.500 0.250 1
S2 S 0.256 0.000 0.754 1
S3 S 0.744 0.000 0.246 1
S4 S 0.745 0.500 0.750 1

4.
# Tb2HoZrS4 | Alexandria | PBE | optimized geometry
# E_form (uncorrected) ... -1.831 eV/atom
# Raw total energy ... -6.693 eV/atom
# Space-group type ... P2/m, No. 10
data_Tb2HoZrS4
_cell_length_a 6.678
_cell_length_b 3.870
_cell_length_c 6.682
_cell_angle_alpha 90.00
_cell_angle_beta 109.74
_cell_angle_gamma 90.00
_symmetry_space_group_name_H-M 'P 1'
_symmetry_Int_Tables_number 1
loop_
_symmetry_equiv_pos_as_xyz
'x,y,z'
loop_
_atom_site_label
_atom_site_type_symbol
_atom_site_fract_x
_atom_site_fract_y
_atom_site_fract_z
_atom_site_occupancy
Tb1 Tb 0.000 0.000 0.000 1
Tb2 Tb 0.000 0.500 0.500 1
Ho1 Ho 0.500 0.000 0.500 1
Zr1 Zr 0.500 0.500 0.000 1
S1 S 0.257 0.500 0.249 1
S2 S 0.259 0.000 0.757 1
S3 S 0.741 0.000 0.243 1
S4 S 0.743 0.500 0.751 1

5.
# Ho2TcS | Alexandria | PBE | optimized geometry
# E_form (uncorrected) ... -0.181 eV/atom
# Raw total energy ... -6.093 eV/atom
# Space-group type ... R-3m, No. 166
data_Ho2TcS
_cell_length_a 9.058
_cell_length_b 9.058
_cell_length_c 9.058
_cell_angle_alpha 21.98
_cell_angle_beta 21.98
_cell_angle_gamma 21.98
_symmetry_space_group_name_H-M 'P 1'
_symmetry_Int_Tables_number 1
loop_
_symmetry_equiv_pos_as_xyz
'x,y,z'
loop_
_atom_site_label
_atom_site_type_symbol
_atom_site_fract_x
_atom_site_fract_y
_atom_site_fract_z
_atom_site_occupancy
Ho1 Ho 0.099 0.099 0.099 1
Ho2 Ho 0.901 0.901 0.901 1
Tc1 Tc 0.000 0.000 0.000 1
S1 S 0.500 0.500 0.500 1

6.
# HoTcS | Alexandria | PBE | optimized geometry
# E_form (uncorrected) ... -0.907 eV/atom
# Raw total energy ... -7.264 eV/atom
# Space-group type ... P4/nmm, No. 129
data_HoTcS
_cell_length_a 3.612
_cell_length_b 3.612
_cell_length_c 8.681
_cell_angle_alpha 90.00
_cell_angle_beta 90.00
_cell_angle_gamma 90.00
_symmetry_space_group_name_H-M 'P 1'
_symmetry_Int_Tables_number 1
loop_
_symmetry_equiv_pos_as_xyz
'x,y,z'
loop_
_atom_site_label
_atom_site_type_symbol
_atom_site_fract_x
_atom_site_fract_y
_atom_site_fract_z
_atom_site_occupancy
Ho1 Ho 0.250 0.250 0.211 1
Ho2 Ho 0.750 0.750 0.789 1
Tc1 Tc 0.250 0.250 0.565 1
Tc2 Tc 0.750 0.750 0.435 1
S1 S 0.250 0.250 0.860 1
S2 S 0.750 0.750 0.140 1

7.
# Ho4Te3S | Alexandria | PBE | optimized geometry
# E_form (uncorrected) ... -1.080 eV/atom
# Raw total energy ... -5.063 eV/atom
# Space-group type ... Pmn2_1, No. 31
data_Ho4Te3S
_cell_length_a 9.416
_cell_length_b 8.089
_cell_length_c 7.414
_cell_angle_alpha 90.00
_cell_angle_beta 90.00
_cell_angle_gamma 90.00
_symmetry_space_group_name_H-M 'P 1'
_symmetry_Int_Tables_number 1
loop_
_symmetry_equiv_pos_as_xyz
'x,y,z'
loop_
_atom_site_label
_atom_site_type_symbol
_atom_site_fract_x
_atom_site_fract_y
_atom_site_fract_z
_atom_site_occupancy
Ho1 Ho 0.000 0.093 0.000 1
Ho2 Ho 0.000 0.849 0.422 1
Ho3 Ho 0.198 0.712 0.011 1
Ho4 Ho 0.302 0.288 0.511 1
Ho5 Ho 0.500 0.151 0.922 1
Ho6 Ho 0.500 0.907 0.500 1
Ho7 Ho 0.698 0.288 0.511 1
Ho8 Ho 0.802 0.712 0.011 1
Te1 Te 0.000 0.218 0.396 1
Te2 Te 0.227 0.348 0.904 1
Te3 Te 0.273 0.652 0.404 1
Te4 Te 0.500 0.782 0.896 1
Te5 Te 0.727 0.652 0.404 1
Te6 Te 0.773 0.348 0.904 1
S1 S 0.000 0.824 0.787 1
S2 S 0.500 0.176 0.287 1

8.
# Ho2TeS | Alexandria | PBE | optimized geometry
# E_form (uncorrected) ... -1.633 eV/atom
# Raw total energy ... -5.739 eV/atom
# Space-group type ... R-3m, No. 166
data_Ho2TeS
_cell_length_a 7.273
_cell_length_b 7.273
_cell_length_c 7.273
_cell_angle_alpha 32.46
_cell_angle_beta 32.46
_cell_angle_gamma 32.46
_symmetry_space_group_name_H-M 'P 1'
_symmetry_Int_Tables_number 1
loop_
_symmetry_equiv_pos_as_xyz
'x,y,z'
loop_
_atom_site_label
_atom_site_type_symbol
_atom_site_fract_x
_atom_site_fract_y
_atom_site_fract_z
_atom_site_occupancy
Ho1 Ho 0.234 0.234 0.234 1
Ho2 Ho 0.766 0.766 0.766 1
Te1 Te 0.000 0.000 0.000 1
S1 S 0.500 0.500 0.500 1

9.
# Ho4Te3S | Alexandria | PBE | optimized geometry
# E_form (uncorrected) ... -1.423 eV/atom
# Raw total energy ... -5.406 eV/atom
# Space-group type ... Cmmm, No. 65
data_Ho4Te3S
_cell_length_a 7.397
_cell_length_b 7.397
_cell_length_c 4.168
_cell_angle_alpha 90.00
_cell_angle_beta 90.00
_cell_angle_gamma 109.07
_symmetry_space_group_name_H-M 'P 1'
_symmetry_Int_Tables_number 1
loop_
_symmetry_equiv_pos_as_xyz
'x,y,z'
loop_
_atom_site_label
_atom_site_type_symbol
_atom_site_fract_x
_atom_site_fract_y
_atom_site_fract_z
_atom_site_occupancy
Ho1 Ho 0.212 0.212 0.500 1
Ho2 Ho 0.223 0.777 0.000 1
Ho3 Ho 0.777 0.223 0.000 1
Ho4 Ho 0.788 0.788 0.500 1
Te1 Te 0.000 0.500 0.500 1
Te2 Te 0.500 0.000 0.500 1
Te3 Te 0.500 0.500 0.000 1
S1 S 0.000 0.000 0.000 1